First-principles (PBE) data for a geometry-optimized YInIr2O structure, as listed in Alexandria.

Cell: 4.8173 5.7878 4.8173 Å, 90.00 90.00 90.00°
Site moments in Bohr magnetons follow the coordinates.
Fractional positions:
In1 0.0000 0.0000 0.0000  -0.02
Ir1 0.5000 0.0000 0.0000  0.58
Ir2 0.0000 0.0000 0.5000  0.61
O1 0.5000 0.5000 0.5000  0.76
Y1 0.0000 0.5000 0.0000  -0.09

Properties
* formation energy without anion corrections: 7.52 eV/f.u.
* total magnetic moment: 1.9 μB per cell
* crystal system: tetragonal